Record 1
K2CrOs (PBE, relaxed); SG = Pm, No. 6; total moment = 2.13 Bohr magnetons per cell; D(E_F) = 3.40 states/eV/cell; ΔE to the lowest computed polymorph = 0.00 eV per formula unit; raw total energy = -19.99 eV/cell
1.0
3.803 0.000 0.000
0.000 2.979 0.017
0.000 0.748 10.210
Cr K Os
1 2 1
Cartesian
1.901 3.069 6.692
1.901 3.109 3.431
0.000 1.552 9.376
0.000 1.587 6.068


Record 2
K2Cr2Os (PBE, relaxed); SG = I4/mmm, No. 139; total moment = 0.00 Bohr magnetons per cell; D(E_F) = 4.70 states/eV/cell; raw total energy = -24.50 eV/cell
1.0
6.569 -0.042 4.080
4.866 4.884 3.501
-7.097 -2.637 -1.572
Os Cr K
1 2 2
Cartesian
0.000 0.000 0.000
5.008 2.121 3.320
6.427 2.722 4.261
2.595 -0.129 3.149
1.743 2.334 2.860